The following is a DFT calculation (PBE-GGA) of a relaxed ThSi2Rh crystal.

Properties
- Density of states at the Fermi level: 7.386 states/eV/cell
- VASP energy: -7.3675 eV/atom
- V: 18.51 A^3/atom
- Density: 8774 kg/m³
- Total magnetization: 0.00 μB/cell

Unit cell a=7.042 b=4.100 c=10.255 alpha=90.00 beta=90.00 gamma=90.00
Fractional positions:
Th 0.148 0.250 0.128
Th 0.352 0.750 0.628
Th 0.648 0.250 0.372
Th 0.852 0.750 0.872
Si 0.161 0.250 0.820
Si 0.204 0.250 0.423
Si 0.296 0.750 0.923
Si 0.339 0.750 0.320
Si 0.661 0.250 0.680
Si 0.704 0.250 0.077
Si 0.796 0.750 0.577
Si 0.839 0.750 0.180
Rh 0.003 0.750 0.385
Rh 0.497 0.250 0.885
Rh 0.503 0.750 0.115
Rh 0.997 0.250 0.615